The following is a DFT calculation (PBE) of a relaxed In2Pt3 crystal.

Summary:
- formation energy from the elements (eV per atom) = -0.31
- SG = No. 166

abc: 5.673 5.673 5.673
angles: 46.86 46.86 46.86
Atoms (fractional coordinates):
1 In 0.600 0.600 0.600
2 Pt 0.208 0.208 0.208
3 Pt 0.792 0.792 0.792
4 Pt 0.000 0.000 0.000
5 In 0.400 0.400 0.400


The following is a DFT calculation (PBE) of a relaxed TbNpTe3 crystal.

Summary:
- energy relative to the elements, uncorrected (eV/atom) = -0.9340
- excess energy over the best structure of this formula in the dataset (meV/atom) = 93.5
- SG = No. 62

abc: 8.163 7.239 11.435
angles: 90.00 90.00 90.00
Last column: magnetic moment on the atom in μB.
Atoms (fractional coordinates):
1 Te 0.826 0.155 0.413  -0.06
2 Np 0.500 0.000 0.000  3.95
3 Te 0.826 0.155 0.087  -0.06
4 Te 0.326 0.345 0.413  -0.06
5 Te 0.049 0.337 0.750  -0.06
6 Tb 0.875 0.944 0.750  0.07
7 Te 0.549 0.163 0.750  -0.06
8 Tb 0.375 0.556 0.750  0.07
9 Te 0.326 0.345 0.087  -0.06
10 Np 0.000 0.500 0.500  3.95
11 Te 0.674 0.655 0.913  -0.06
12 Te 0.674 0.655 0.587  -0.06
13 Tb 0.625 0.444 0.250  0.07
14 Te 0.951 0.663 0.250  -0.06
15 Te 0.174 0.845 0.913  -0.06
16 Te 0.451 0.837 0.250  -0.06
17 Te 0.174 0.845 0.587  -0.06
18 Np 0.000 0.500 0.000  3.95
19 Np 0.500 0.000 0.500  3.95
20 Tb 0.125 0.056 0.250  0.07


The following is a DFT calculation (PBE) of a relaxed AcAl2TeO8 crystal.

Summary:
- energy relative to the elements, uncorrected (eV/atom) = -2.1684
- SG = No. 2

abc: 4.624 4.434 7.500
angles: 90.20 96.60 87.71
Last column: magnetic moment on the atom in μB.
Atoms (fractional coordinates):
1 O 0.684 0.552 0.420  0.40
2 O 0.181 0.802 0.811  0.02
3 Te 0.000 0.000 0.000  0.00
4 O 0.316 0.448 0.580  0.40
5 Al 0.537 0.518 0.185  0.00
6 O 0.698 0.693 0.995  0.00
7 Ac 0.000 0.000 0.500  0.01
8 O 0.766 0.198 0.795  0.01
9 Al 0.463 0.482 0.815  0.00
10 O 0.302 0.307 0.005  0.00
11 O 0.234 0.802 0.205  0.01
12 O 0.819 0.198 0.189  0.02


The following is a DFT calculation (PBE) of a relaxed KSrHg4 crystal.

Summary:
- formation energy from the elements (eV per atom) = -0.35
- excess energy over the best structure of this formula in the dataset (meV/atom) = 0.0
- SG = No. 47

abc: 3.938 5.200 9.085
angles: 90.00 90.00 90.00
Atoms (fractional coordinates):
1 K 0.999 0.497 0.998
2 Hg 0.499 0.497 0.334
3 Hg 0.499 0.997 0.831
4 Hg 0.499 0.997 0.165
5 Hg 0.499 0.497 0.662
6 Sr 0.999 0.997 0.498


The following is a DFT calculation (PBE) of a relaxed MnIr4Rh3 crystal.

Summary:
- formation energy from the elements (eV per atom) = 0.10
- SG = No. 71

abc: 2.711 8.715 6.731
angles: 130.34 101.62 90.00
Last column: magnetic moment on the atom in μB.
Atoms (fractional coordinates):
1 Mn 0.500 0.000 0.000  2.71
2 Ir 0.630 0.385 0.260  -0.04
3 Rh 0.212 0.212 0.425  -0.08
4 Rh 0.000 0.500 0.000  -0.03
5 Ir 0.370 0.615 0.740  -0.04
6 Rh 0.788 0.788 0.575  -0.08
7 Ir 0.370 0.125 0.740  -0.04
8 Ir 0.630 0.875 0.260  -0.04


The following is a DFT calculation (PBE) of a relaxed PrTa2S6 crystal.

Summary:
- energy relative to the elements, uncorrected (eV/atom) = -1.1270
- SG = No. 12

abc: 4.878 6.363 8.178
angles: 71.66 72.65 67.46
Atoms (fractional coordinates):
1 S 0.021 0.143 0.815
2 S 0.979 0.857 0.185
3 S 0.656 0.307 0.381
4 Ta 0.810 0.303 0.076
5 S 0.692 0.709 0.907
6 Ta 0.190 0.697 0.924
7 Pr 0.000 0.500 0.500
8 S 0.344 0.693 0.619
9 S 0.308 0.291 0.093


The following is a DFT calculation (PBE) of a relaxed K4Rh crystal.

Summary:
- formation energy from the elements (eV per atom) = 0.44
- excess energy over the best structure of this formula in the dataset (meV/atom) = 16.0
- SG = No. 221

abc: 6.307 6.307 6.307
angles: 90.00 90.00 90.00
Last column: magnetic moment on the atom in μB.
Atoms (fractional coordinates):
1 K 0.500 0.500 0.000  0.00
2 Rh 0.500 0.500 0.500  0.26
3 K 0.500 0.000 0.500  0.00
4 K 0.000 0.000 0.000  0.00
5 K 0.000 0.500 0.500  0.00


The following is a DFT calculation (PBE) of a relaxed Pm2NdSb crystal.

Summary:
- energy relative to the elements, uncorrected (eV/atom) = -0.5449
- excess energy over the best structure of this formula in the dataset (meV/atom) = 28.5
- SG = No. 123

abc: 4.892 4.917 4.917
angles: 90.00 90.00 90.00
Atoms (fractional coordinates):
1 Nd 0.500 0.500 0.500
2 Sb 0.500 0.000 0.000
3 Pm 0.000 0.500 0.000
4 Pm 0.000 0.000 0.500


The following is a DFT calculation (PBE) of a relaxed SrLa2Tl crystal.

Summary:
- formation energy from the elements (eV per atom) = 0.04
- excess energy over the best structure of this formula in the dataset (meV/atom) = 217.6
- SG = No. 160

abc: 5.528 5.528 6.841
angles: 66.17 66.17 60.00
Last column: magnetic moment on the atom in μB.
Atoms (fractional coordinates):
1 Sr 0.491 0.491 0.526  0.03
2 La 0.281 0.281 0.158  0.18
3 La 0.028 0.028 0.915  0.12
4 Tl 0.700 0.700 0.901  -0.01


The following is a DFT calculation (PBE) of a relaxed NdY4Hg5 crystal.

Summary:
- formation energy from the elements (eV per atom) = -0.50
- SG = No. 123

abc: 3.744 3.744 18.824
angles: 90.00 90.00 90.00
Last column: magnetic moment on the atom in μB.
Atoms (fractional coordinates):
1 Y 0.000 0.000 0.204  0.04
2 Hg 0.500 0.500 0.303  0.00
3 Y 0.000 0.000 0.402  0.02
4 Hg 0.500 0.500 0.891  0.01
5 Hg 0.500 0.500 0.697  0.00
6 Y 0.000 0.000 0.796  0.04
7 Nd 0.000 0.000 0.000  0.21
8 Hg 0.500 0.500 0.500  0.00
9 Hg 0.500 0.500 0.109  0.01
10 Y 0.000 0.000 0.598  0.02


The following is a DFT calculation (PBE) of a relaxed PmHoNp crystal.

Summary:
- formation energy from the elements (eV per atom) = 0.24
- SG = No. 12

abc: 3.544 5.972 8.615
angles: 101.99 101.87 90.00
Last column: magnetic moment on the atom in μB.
Atoms (fractional coordinates):
1 Pm 0.125 0.325 0.249  0.01
2 Pm 0.875 0.675 0.751  0.01
3 Ho 0.567 0.794 0.134  -0.01
4 Ho 0.433 0.206 0.866  -0.01
5 Np 0.762 0.137 0.525  1.32
6 Np 0.238 0.863 0.475  1.32


The following is a DFT calculation (PBE) of a relaxed MnNi2As crystal.

Summary:
- formation energy from the elements (eV per atom) = -0.07
- SG = No. 216

abc: 4.099 4.099 4.099
angles: 60.00 60.00 60.00
Last column: magnetic moment on the atom in μB.
Atoms (fractional coordinates):
1 Ni 0.250 0.250 0.250  0.13
2 Ni 0.000 0.000 0.000  0.32
3 As 0.500 0.500 0.500  -0.03
4 Mn 0.750 0.750 0.750  2.73


The following is a DFT calculation (PBE) of a relaxed TcNiMo3 crystal.

Summary:
- formation energy from the elements (eV per atom) = 1.47
- excess energy over the best structure of this formula in the dataset (meV/atom) = 0.0
- SG = No. 221

abc: 4.421 4.421 4.421
angles: 90.00 90.00 90.00
Last column: magnetic moment on the atom in μB.
Atoms (fractional coordinates):
1 Tc 0.500 0.500 0.500  0.17
2 Mo 0.500 0.000 0.000  -0.01
3 Mo 0.000 0.000 0.500  -0.01
4 Ni 0.000 0.000 0.000  0.00
5 Mo 0.000 0.500 0.000  -0.01


The following is a DFT calculation (PBE) of a relaxed LaLuInPd crystal.

Summary:
- formation energy from the elements (eV per atom) = -0.56
- SG = No. 216

abc: 5.252 5.252 5.252
angles: 60.00 60.00 60.00
Atoms (fractional coordinates):
1 La 0.750 0.750 0.750
2 Lu 0.250 0.250 0.250
3 Pd 0.000 0.000 0.000
4 In 0.500 0.500 0.500


The following is a DFT calculation (PBE) of a relaxed Ac6Sb2Ru crystal.

Summary:
- energy relative to the elements, uncorrected (eV/atom) = -0.5612
- SG = No. 14

abc: 7.130 8.678 11.097
angles: 90.00 93.12 90.00
Atoms (fractional coordinates):
1 Ac 0.624 0.476 0.248
2 Ac 0.124 0.024 0.748
3 Ac 0.154 0.325 0.048
4 Sb 0.919 0.385 0.751
5 Sb 0.081 0.615 0.249
6 Sb 0.581 0.885 0.749
7 Ac 0.654 0.175 0.548
8 Ac 0.147 0.315 0.457
9 Ac 0.376 0.524 0.752
10 Sb 0.419 0.115 0.251
11 Ac 0.346 0.825 0.452
12 Ac 0.876 0.976 0.252
13 Ac 0.846 0.675 0.952
14 Ac 0.853 0.685 0.543
15 Ru 0.000 0.000 0.500
16 Ru 0.500 0.500 0.000
17 Ac 0.353 0.815 0.043
18 Ac 0.647 0.185 0.957


The following is a DFT calculation (PBE) of a relaxed SmPuPd crystal.

Summary:
- formation energy from the elements (eV per atom) = -0.30
- excess energy over the best structure of this formula in the dataset (meV/atom) = 40.1
- SG = No. 107

abc: 3.601 3.601 6.459
angles: 106.19 106.19 90.00
Last column: magnetic moment on the atom in μB.
Atoms (fractional coordinates):
1 Sm 0.308 0.308 0.616  0.23
2 Pd 0.668 0.668 0.337  0.03
3 Pu 0.023 0.023 0.047  5.54


The following is a DFT calculation (PBE) of a relaxed Pr8TmSn6 crystal.

Summary:
- formation energy from the elements (eV per atom) = -0.56
- SG = No. 148

abc: 9.391 9.391 8.576
angles: 56.80 56.80 60.00
Atoms (fractional coordinates):
1 Pr 0.442 0.766 0.691
2 Pr 0.334 0.334 0.998
3 Pr 0.899 0.558 0.309
4 Pr 0.766 0.101 0.691
5 Pr 0.234 0.899 0.309
6 Sn 0.068 0.741 0.799
7 Pr 0.101 0.442 0.691
8 Pr 0.558 0.234 0.309
9 Sn 0.741 0.392 0.799
10 Tm 0.000 0.000 0.000
11 Sn 0.932 0.259 0.201
12 Sn 0.392 0.068 0.799
13 Sn 0.608 0.932 0.201
14 Pr 0.666 0.666 0.002
15 Sn 0.259 0.608 0.201


The following is a DFT calculation (PBE) of a relaxed Rb2TcClF6 crystal.

Summary:
- energy relative to the elements, uncorrected (eV/atom) = -2.2441
- excess energy over the best structure of this formula in the dataset (meV/atom) = 0.0
- SG = No. 2

abc: 7.742 7.722 7.652
angles: 47.14 42.14 49.91
Last column: magnetic moment on the atom in μB.
Atoms (fractional coordinates):
1 F 0.405 0.347 0.208  0.06
2 Rb 0.520 0.605 0.255  0.00
3 Rb 0.112 0.027 0.847  0.00
4 Tc 0.316 0.316 0.052  1.80
5 F 0.459 0.581 0.702  0.05
6 F 0.227 0.285 0.896  0.06
7 F 0.658 0.079 0.924  0.06
8 Cl 0.816 0.816 0.551  -0.18
9 F 0.974 0.553 0.179  0.06
10 F 0.173 0.051 0.401  0.05


The following is a DFT calculation (PBE) of a relaxed Th6GeRu2Se3 crystal.

Summary:
- energy relative to the elements, uncorrected (eV/atom) = -1.0863
- SG = No. 12

abc: 7.241 7.241 7.557
angles: 99.17 99.17 119.94
Atoms (fractional coordinates):
1 Th 0.576 0.924 0.776
2 Se 0.159 0.841 0.500
3 Ru 0.332 0.668 0.000
4 Th 0.076 0.424 0.224
5 Th 0.276 0.276 0.778
6 Th 0.924 0.576 0.776
7 Ge 0.000 0.000 0.000
8 Se 0.841 0.159 0.500
9 Se 0.500 0.500 0.500
10 Ru 0.668 0.332 0.000
11 Th 0.424 0.076 0.224
12 Th 0.724 0.724 0.222


The following is a DFT calculation (PBE) of a relaxed CaPt2 crystal.

Summary:
- formation energy from the elements (eV per atom) = -0.55
- SG = No. 62

abc: 7.625 2.943 10.001
angles: 90.00 90.00 90.00
Atoms (fractional coordinates):
1 Pt 0.214 0.500 0.479
2 Pt 0.714 0.500 0.187
3 Pt 0.506 0.000 0.387
4 Ca 0.431 0.000 0.679
5 Ca 0.819 0.500 0.488
6 Pt 0.536 0.000 0.979
7 Ca 0.319 0.500 0.179
8 Pt 0.006 0.000 0.279
9 Pt 0.036 0.000 0.687
10 Ca 0.931 0.000 0.988
11 Pt 0.244 0.500 0.887
12 Pt 0.744 0.500 0.779